Record 1
A plane-wave DFT calculation with PBE-GGA was carried out for an optimized crystal structure of YMgTlNi. Values from VASP.

Properties
Energy relative to the lowest polymorph listed for this composition ... 124.7 meV per atom

Cell and atoms, written as Quantum ESPRESSO input:
```
&SYSTEM
  ibrav = 0, nat = 4, ntyp = 4
/
ATOMIC_SPECIES
Y 88.91 Y.upf
Mg 24.30 Mg.upf
Tl 204.38 Tl.upf
Ni 58.69 Ni.upf
CELL_PARAMETERS angstrom
0.0000 3.4436 3.4436
3.4436 0.0000 3.4436
3.4436 3.4436 0.0000
ATOMIC_POSITIONS crystal
Y 0.0000 0.0000 0.0000
Mg 0.2500 0.2500 0.2500
Tl 0.7500 0.7500 0.7500
Ni 0.5000 0.5000 0.5000
```



Record 2
A plane-wave DFT calculation with PBE-GGA was carried out for an optimized crystal structure of NaPIr. Values from VASP.

Properties
Electronic total energy ... -0.417 Ry/atom

Cell and atoms, written as Quantum ESPRESSO input:
```
&SYSTEM
  ibrav = 0, nat = 12, ntyp = 3
/
ATOMIC_SPECIES
Na 22.99 Na.upf
P 30.97 P.upf
Ir 192.22 Ir.upf
CELL_PARAMETERS angstrom
4.5876 -3.7678 0.0000
4.5876 3.7678 0.0000
0.0000 0.0000 7.5366
ATOMIC_POSITIONS crystal
Na 0.1899 0.1899 0.0000
Na 0.3101 0.3101 0.5000
Na 0.6899 0.6899 0.5000
Na 0.8101 0.8101 0.0000
P 0.1670 0.8330 0.6650
P 0.3330 0.6670 0.1650
P 0.6670 0.3330 0.8350
P 0.8330 0.1670 0.3350
Ir 0.1289 0.8711 0.3696
Ir 0.3711 0.6289 0.8696
Ir 0.6289 0.3711 0.1304
Ir 0.8711 0.1289 0.6304
```



Record 3
A plane-wave DFT calculation with PBE-GGA was carried out for an optimized crystal structure of LaPrSi4Pd2. Values from VASP.

Properties
Electronic total energy ... -0.446 Ry/atom

Cell and atoms, written as Quantum ESPRESSO input:
```
&SYSTEM
  ibrav = 0, nat = 8, ntyp = 4
/
ATOMIC_SPECIES
La 138.91 La.upf
Pr 140.91 Pr.upf
Si 28.09 Si.upf
Pd 106.42 Pd.upf
CELL_PARAMETERS angstrom
4.3165 0.0000 0.0000
0.0000 4.2475 0.0000
-2.1535 0.0000 8.5030
ATOMIC_POSITIONS crystal
La 0.0000 0.0000 0.0000
Pr 0.7916 0.5000 0.5812
Si 0.1455 0.5000 0.2907
Si 0.3620 0.0000 0.7194
Si 0.4293 0.5000 0.8611
Si 0.6476 0.0000 0.2933
Pd 0.2175 0.0000 0.4334
Pd 0.5753 0.5000 0.1501
```



Density? In order: 7.65; 6.28; 6.44 g/cm3.